No. 1
{"formula": "ErCuB", "functional": "PBE-GGA", "state": "optimized geometry", "space_group": "Fmmm (69)", "volume_a3_per_atom": 14.6, "formation_enthalpy_0k_mev_per_atom": 366, "lattice_angstrom": [[0.000, 3.872, 4.271], [2.647, 0.000, 4.271], [2.647, 3.872, 0.000]], "species": ["Er", "Er", "Cu", "Cu", "B", "B"], "fractional_positions": [[0.180, 0.820, 0.180], [0.820, 0.180, 0.820], [0.333, 0.333, 0.667], [0.667, 0.667, 0.333], [0.250, 0.250, 0.250], [0.750, 0.750, 0.750]]}

***

No. 2
{"formula": "Er2CuB4O10", "functional": "PBE-GGA", "state": "optimized geometry", "space_group": "P2_1/c (14)", "volume_a3_per_atom": 9.2, "formation_energy_uncorrected_mev_per_atom": -2615, "lattice_angstrom": [[4.593, 0.000, 0.000], [0.000, 7.268, 0.000], [-0.063, 0.000, 9.345]], "species": ["Er", "Er", "Er", "Er", "Cu", "Cu", "B", "B", "B", "B", "B", "B", "B", "B", "O", "O", "O", "O", "O", "O", "O", "O", "O", "O", "O", "O", "O", "O", "O", "O", "O", "O", "O", "O"], "fractional_positions": [[0.004, 0.104, 0.165], [0.004, 0.396, 0.665], [0.996, 0.604, 0.335], [0.996, 0.896, 0.835], [0.000, 0.000, 0.500], [0.000, 0.500, 0.000], [0.461, 0.732, 0.580], [0.461, 0.768, 0.080], [0.472, 0.098, 0.662], [0.472, 0.402, 0.162], [0.528, 0.598, 0.838], [0.528, 0.902, 0.338], [0.539, 0.232, 0.920], [0.539, 0.268, 0.420], [0.214, 0.590, 0.834], [0.214, 0.910, 0.334], [0.229, 0.611, 0.542], [0.229, 0.889, 0.042], [0.323, 0.588, 0.138], [0.323, 0.912, 0.638], [0.342, 0.165, 0.801], [0.342, 0.335, 0.301], [0.358, 0.222, 0.548], [0.358, 0.278, 0.048], [0.642, 0.722, 0.952], [0.642, 0.778, 0.452], [0.658, 0.665, 0.699], [0.658, 0.835, 0.199], [0.677, 0.088, 0.362], [0.677, 0.412, 0.862], [0.771, 0.111, 0.958], [0.771, 0.389, 0.458], [0.786, 0.090, 0.666], [0.786, 0.410, 0.166]]}

***

No. 3
{"formula": "Er2CuB2Rh5", "functional": "PBE-GGA", "state": "optimized geometry", "space_group": "P4/mbm (127)", "volume_a3_per_atom": 14.1, "formation_enthalpy_0k_mev_per_atom": -698, "lattice_angstrom": [[9.419, 0.000, 0.000], [0.000, 9.419, 0.000], [0.000, 0.000, 3.186]], "species": ["Er", "Er", "Er", "Er", "Cu", "Cu", "B", "B", "B", "B", "Rh", "Rh", "Rh", "Rh", "Rh", "Rh", "Rh", "Rh", "Rh", "Rh"], "fractional_positions": [[0.176, 0.324, 0.000], [0.324, 0.824, 0.000], [0.676, 0.176, 0.000], [0.824, 0.676, 0.000], [0.000, 0.000, 0.000], [0.500, 0.500, 0.000], [0.125, 0.625, 0.000], [0.375, 0.125, 0.000], [0.625, 0.875, 0.000], [0.875, 0.375, 0.000], [0.000, 0.500, 0.500], [0.070, 0.782, 0.500], [0.218, 0.070, 0.500], [0.282, 0.570, 0.500], [0.430, 0.282, 0.500], [0.500, 0.000, 0.500], [0.570, 0.718, 0.500], [0.718, 0.430, 0.500], [0.782, 0.930, 0.500], [0.930, 0.218, 0.500]]}

***

No. 4
{"formula": "Er2Cu2BRh4", "functional": "PBE-GGA", "state": "optimized geometry", "space_group": "I4/mmm (139)", "volume_a3_per_atom": 15.0, "formation_enthalpy_0k_mev_per_atom": -701, "lattice_angstrom": [[-2.940, 2.940, 3.893], [2.940, -2.940, 3.893], [2.940, 2.940, -3.893]], "species": ["Er", "Er", "Cu", "Cu", "B", "Rh", "Rh", "Rh", "Rh"], "fractional_positions": [[0.250, 0.750, 0.500], [0.750, 0.250, 0.500], [0.230, 0.230, 0.000], [0.770, 0.770, 0.000], [0.500, 0.500, 0.000], [0.248, 0.248, 0.496], [0.248, 0.752, 0.000], [0.752, 0.248, 0.000], [0.752, 0.752, 0.504]]}

***

No. 5
{"formula": "ErTmCuB", "functional": "PBE-GGA", "state": "optimized geometry", "space_group": "F-43m (216)", "volume_a3_per_atom": 18.0, "formation_enthalpy_0k_mev_per_atom": -18, "lattice_angstrom": [[0.000, 3.301, 3.301], [3.301, 0.000, 3.301], [3.301, 3.301, 0.000]], "species": ["Er", "Tm", "Cu", "B"], "fractional_positions": [[0.000, 0.000, 0.000], [0.500, 0.500, 0.500], [0.250, 0.250, 0.250], [0.750, 0.750, 0.750]]}

***

No. 6
{"formula": "CuBF4", "functional": "PBE-GGA", "state": "optimized geometry", "space_group": "P2_1/c (14)", "volume_a3_per_atom": 12.9, "formation_energy_uncorrected_mev_per_atom": -2209, "lattice_angstrom": [[4.882, 0.000, 0.000], [0.000, 9.345, 0.000], [-3.154, 0.000, 6.804]], "species": ["Cu", "Cu", "Cu", "Cu", "B", "B", "B", "B", "F", "F", "F", "F", "F", "F", "F", "F", "F", "F", "F", "F", "F", "F", "F", "F"], "fractional_positions": [[0.027, 0.030, 0.177], [0.027, 0.470, 0.677], [0.973, 0.530, 0.323], [0.973, 0.970, 0.823], [0.309, 0.174, 0.652], [0.309, 0.326, 0.152], [0.691, 0.674, 0.848], [0.691, 0.826, 0.348], [0.054, 0.148, 0.479], [0.054, 0.352, 0.979], [0.286, 0.099, 0.815], [0.286, 0.401, 0.315], [0.328, 0.175, 0.198], [0.328, 0.325, 0.698], [0.423, 0.635, 0.858], [0.423, 0.865, 0.358], [0.577, 0.135, 0.642], [0.577, 0.365, 0.142], [0.672, 0.675, 0.302], [0.672, 0.825, 0.802], [0.714, 0.599, 0.685], [0.714, 0.901, 0.185], [0.946, 0.648, 0.021], [0.946, 0.852, 0.521]]}

***

No. 7
{"formula": "CuB2F8", "functional": "PBE-GGA", "state": "optimized geometry", "space_group": "C2/m (12)", "volume_a3_per_atom": 13.7, "formation_energy_uncorrected_mev_per_atom": -2422, "lattice_angstrom": [[4.284, -3.652, 0.000], [4.284, 3.652, 0.000], [-0.291, 0.000, 4.832]], "species": ["Cu", "B", "B", "F", "F", "F", "F", "F", "F", "F", "F"], "fractional_positions": [[0.000, 0.000, 0.000], [0.222, 0.222, 0.661], [0.778, 0.778, 0.339], [0.017, 0.708, 0.212], [0.187, 0.187, 0.378], [0.292, 0.983, 0.788], [0.375, 0.375, 0.741], [0.625, 0.625, 0.259], [0.708, 0.017, 0.212], [0.813, 0.813, 0.622], [0.983, 0.292, 0.788]]}

***

no.,total moment (μB/cell)
1,0.000
2,2.084
3,0.000
4,0.000
5,0.000
6,0.126
7,1.000